(1)
The following is a GGA-PBE calculation of crystalline Li2TeP at its relaxed geometry, from Alexandria via LeMat-Bulk.

The space group is P4/mmm (123). The total energy is -3.4835 eV per atom. Its uncorrected formation energy is -150.0 kJ/mol of formula units. Its magnetic moment is 0.00 μB per cell.

Lattice parameters (Å, degrees): 3.075 3.075 8.225 90.00 90.00 90.07
Fractional positions:
Li  0.000  0.000  0.060
Li  0.000  0.000  0.440
P  0.500  0.500  0.250
Te  0.500  0.500  0.750

***

(2)
The following is a GGA-PBE calculation of crystalline Li2TeP at its relaxed geometry, from Alexandria via LeMat-Bulk.

The space group is F-43m (216). The total energy is -3.1828 eV per atom. Its uncorrected formation energy is -34.0 kJ/mol of formula units. Its magnetic moment is 0.00 μB per cell.

Lattice parameters (Å, degrees): 4.808 4.808 4.808 60.00 60.00 60.00
Fractional positions:
Li  0.000  0.000  0.000
Li  0.250  0.250  0.250
P  0.500  0.500  0.500
Te  0.750  0.750  0.750

***

(3)
The following is a GGA-PBE calculation of crystalline LiTeP2 at its relaxed geometry, from Alexandria via LeMat-Bulk.

The space group is Pm (6). The total energy is -4.2012 eV per atom. Its uncorrected formation energy is -89.7 kJ/mol of formula units. Its magnetic moment is 0.00 μB per cell.

Lattice parameters (Å, degrees): 3.228 5.173 7.420 45.94 90.00 90.00
Fractional positions:
Li  0.500  0.852  0.626
P  0.000  0.010  0.125
P  0.500  0.295  0.125
Te  0.000  0.343  0.625

***

(4)
The following is a GGA-PBE calculation of crystalline LiTe2P at its relaxed geometry, from Alexandria via LeMat-Bulk.

The space group is Cmmm (65). The total energy is -3.3069 eV per atom. Its uncorrected formation energy is 36.6 kJ/mol of formula units. Its magnetic moment is 0.00 μB per cell.

Lattice parameters (Å, degrees): 3.643 3.643 7.961 90.00 90.00 114.52
Fractional positions:
Li  0.500  0.500  0.250
P  0.500  0.500  0.750
Te  0.000  0.000  0.988
Te  0.000  0.000  0.512

***

(5)
The following is a GGA-PBE calculation of crystalline LiTeP2 at its relaxed geometry, from Alexandria via LeMat-Bulk.

The space group is Cmmm (65). The total energy is -3.7595 eV per atom. Its uncorrected formation energy is 80.8 kJ/mol of formula units. Its magnetic moment is 0.00 μB per cell.

Lattice parameters (Å, degrees): 4.640 4.640 3.693 90.00 90.00 108.77
Fractional positions:
Li  0.000  0.500  0.500
P  0.000  0.000  0.000
P  0.500  0.500  0.000
Te  0.500  0.000  0.500

***

(6)
The following is a GGA-PBE calculation of crystalline LiTe2P at its relaxed geometry, from Alexandria via LeMat-Bulk.

The space group is R3m (160). The total energy is -3.4955 eV per atom. Its uncorrected formation energy is -36.2 kJ/mol of formula units. Its magnetic moment is 0.00 μB per cell.

Lattice parameters (Å, degrees): 7.189 7.189 7.189 32.85 32.85 32.85
Fractional positions:
Li  0.495  0.495  0.495
P  0.749  0.749  0.749
Te  0.012  0.012  0.012
Te  0.244  0.244  0.244

***

(7)
The following is a GGA-PBE calculation of crystalline Li2TeP at its relaxed geometry, from Alexandria via LeMat-Bulk.

The space group is Imm2 (44). The total energy is -3.4341 eV per atom. Its uncorrected formation energy is -131.0 kJ/mol of formula units. Its magnetic moment is 0.00 μB per cell.

Lattice parameters (Å, degrees): 6.012 6.012 6.012 146.98 138.17 54.30
Fractional positions:
Li  0.998  0.998  0.000
Li  0.699  0.199  0.500
P  0.500  0.500  0.000
Te  0.303  0.803  0.500

***

(8)
The following is a GGA-PBE calculation of crystalline Li2TeP at its relaxed geometry, from Alexandria via LeMat-Bulk.

The space group is P4mm (99). The total energy is -3.2609 eV per atom. Its uncorrected formation energy is -64.1 kJ/mol of formula units. Its magnetic moment is 0.00 μB per cell.

Lattice parameters (Å, degrees): 3.215 3.215 8.059 90.00 90.00 90.02
Fractional positions:
Li  0.000  0.000  0.049
Li  0.500  0.500  0.252
P  0.000  0.000  0.373
Te  0.500  0.500  0.827

***

(9)
The following is a GGA-PBE calculation of crystalline Li2TeP at its relaxed geometry, from Alexandria via LeMat-Bulk.

The space group is Immm (71). The total energy is -3.4983 eV per atom. Its uncorrected formation energy is -155.7 kJ/mol of formula units. Its magnetic moment is 0.00 μB per cell.

Lattice parameters (Å, degrees): 5.044 5.044 5.044 132.84 126.87 73.74
Fractional positions:
Li  0.985  0.985  0.000
Li  0.515  0.515  0.000
P  0.750  0.250  0.500
Te  0.250  0.750  0.500

***

(10)
The following is a GGA-PBE calculation of crystalline LiTe2P at its relaxed geometry, from Alexandria via LeMat-Bulk.

The space group is P4mm (99). The total energy is -3.6441 eV per atom. Its uncorrected formation energy is -93.5 kJ/mol of formula units. Its magnetic moment is 0.00 μB per cell.

Lattice parameters (Å, degrees): 3.992 3.983 6.277 90.00 90.00 90.00
Fractional positions:
Li  0.000  0.000  0.363
P  0.500  0.500  0.816
Te  0.000  0.000  0.900
Te  0.500  0.500  0.421

***

(11)
The following is a GGA-PBE calculation of crystalline LiTeP2 at its relaxed geometry, from Alexandria via LeMat-Bulk.

The space group is P4/mmm (123). The total energy is -3.9008 eV per atom. Its uncorrected formation energy is 26.2 kJ/mol of formula units. Its magnetic moment is 0.00 μB per cell.

Lattice parameters (Å, degrees): 3.709 3.709 5.730 90.00 90.00 90.00
Fractional positions:
Li  0.500  0.500  0.750
P  0.000  0.000  0.929
P  0.000  0.000  0.571
Te  0.500  0.500  0.250

***

(12)
The following is a GGA-PBE calculation of crystalline LiTe2P at its relaxed geometry, from Alexandria via LeMat-Bulk.

The space group is Pmmm (47). The total energy is -3.3315 eV per atom. Its uncorrected formation energy is 27.1 kJ/mol of formula units. Its magnetic moment is 0.00 μB per cell.

Lattice parameters (Å, degrees): 4.060 5.562 4.056 90.00 90.00 90.00
Fractional positions:
Li  0.500  0.000  0.500
P  0.000  0.500  0.500
Te  0.000  0.000  0.000
Te  0.500  0.500  0.000

***

(13)
The following is a GGA-PBE calculation of crystalline LiTeP2 at its relaxed geometry, from Alexandria via LeMat-Bulk.

The space group is Imm2 (44). The total energy is -4.1165 eV per atom. Its uncorrected formation energy is -57.0 kJ/mol of formula units. Its magnetic moment is 0.00 μB per cell.

Lattice parameters (Å, degrees): 9.452 9.452 9.452 160.50 161.08 27.30
Fractional positions:
Li  0.221  0.721  0.500
P  0.885  0.885  0.000
P  0.806  0.306  0.500
Te  0.589  0.589  0.000

***

(14)
The following is a GGA-PBE calculation of crystalline LiTe2P at its relaxed geometry, from Alexandria via LeMat-Bulk.

The space group is C2/m (12). The total energy is -3.4925 eV per atom. Its uncorrected formation energy is -35.0 kJ/mol of formula units. Its magnetic moment is 0.00 μB per cell.

Lattice parameters (Å, degrees): 6.324 6.324 3.082 63.19 63.19 78.30
Fractional positions:
Li  0.500  0.000  0.500
P  0.000  0.500  0.500
Te  0.000  0.000  0.000
Te  0.500  0.500  0.000

***

(15)
The following is a GGA-PBE calculation of crystalline Li2Te2P at its relaxed geometry, from Alexandria via LeMat-Bulk.

The space group is P4/mbm (127). The total energy is -3.3840 eV per atom. Its uncorrected formation energy is -135.0 kJ/mol of formula units. Its magnetic moment is 0.00 μB per cell.

Lattice parameters (Å, degrees): 7.620 7.620 3.909 90.00 90.00 90.00
Fractional positions:
P  0.000  0.000  0.000
P  0.500  0.500  0.000
Te  0.322  0.822  0.000
Te  0.822  0.678  0.000
Te  0.678  0.178  0.000
Te  0.178  0.322  0.000
Li  0.132  0.632  0.500
Li  0.632  0.868  0.500
Li  0.868  0.368  0.500
Li  0.368  0.132  0.500

***

(16)
The following is a GGA-PBE calculation of crystalline LiTe2P at its relaxed geometry, from Alexandria via LeMat-Bulk.

The space group is R-3m (166). The total energy is -3.6153 eV per atom. Its uncorrected formation energy is -82.4 kJ/mol of formula units. Its magnetic moment is 0.00 μB per cell.

Lattice parameters (Å, degrees): 4.030 4.030 7.293 73.99 73.99 59.99
Fractional positions:
Li  0.750  0.750  0.750
P  0.250  0.250  0.250
Te  0.993  0.993  0.022
Te  0.507  0.507  0.478

***

(17)
The following is a GGA-PBE calculation of crystalline Li2TeP at its relaxed geometry, from Alexandria via LeMat-Bulk.

The space group is Pmmm (47). The total energy is -3.4899 eV per atom. Its uncorrected formation energy is -152.5 kJ/mol of formula units. Its magnetic moment is 0.00 μB per cell.

Lattice parameters (Å, degrees): 4.149 4.391 4.045 90.00 90.00 90.00
Fractional positions:
Li  0.000  0.000  0.000
Li  0.500  0.500  0.000
P  0.500  0.000  0.500
Te  0.000  0.500  0.500

***

(18)
The following is a GGA-PBE calculation of crystalline Li2TeP at its relaxed geometry, from Alexandria via LeMat-Bulk.

The space group is I-42d (122). The total energy is -3.3804 eV per atom. Its uncorrected formation energy is -110.2 kJ/mol of formula units. Its magnetic moment is 0.00 μB per cell.

Lattice parameters (Å, degrees): 7.657 7.657 6.059 50.81 50.81 90.00
Fractional positions:
P  0.500  0.500  0.000
P  0.250  0.750  0.500
Te  0.000  0.000  0.000
Te  0.750  0.250  0.500
Li  0.572  0.125  0.250
Li  0.178  0.625  0.250
Li  0.375  0.428  0.750
Li  0.875  0.822  0.750

***

(19)
The following is a GGA-PBE calculation of crystalline LiTe2P at its relaxed geometry, from Alexandria via LeMat-Bulk.

The space group is P4/mmm (123). The total energy is -3.2660 eV per atom. Its uncorrected formation energy is 52.4 kJ/mol of formula units. Its magnetic moment is 0.00 μB per cell.

Lattice parameters (Å, degrees): 3.448 3.448 7.400 90.00 90.00 90.00
Fractional positions:
Li  0.500  0.500  0.250
P  0.500  0.500  0.750
Te  0.000  0.000  0.991
Te  0.000  0.000  0.509

***

(20)
The following is a GGA-PBE calculation of crystalline Li2TePW at its relaxed geometry, from Alexandria via LeMat-Bulk.

The space group is P4/mmm (123). The total energy is -3.8024 eV per atom. Its uncorrected formation energy is 609.8 kJ/mol of formula units. Its magnetic moment is 3.37 μB per cell.

Lattice parameters (Å, degrees): 5.139 5.066 5.139 90.00 90.00 90.00
Fractional positions:
P  0.500  0.500  0.500
Te  0.000  0.500  0.000
W  0.000  0.000  0.000
Li  0.000  0.000  0.500
Li  0.500  0.000  0.000